No. 1
A plane-wave DFT calculation with PBE was carried out for a geometry-optimized Ta4Re structure.

Calculated values
- Formation energy: 0.94 eV/atom

Lattice parameters (Å, degrees): 3.5678 3.5678 15.1353 90.00 90.00 90.00
Closest atoms and distances in Å follow each position.
Space group I4/mmm (No. 139)
Asymmetric unit:
1 Ta 0.0000 0.0000 0.0908 x4  5 Ta 2.75-3.00, 4 Re 2.87
2 Ta 0.0000 0.5000 0.2500 x4  4 Ta 2.52
3 Re 0.0000 0.0000 0.5000 x2  8 Ta 2.87

---

No. 2
A plane-wave DFT calculation with PBE was carried out for a geometry-optimized Ta2Re structure.

Calculated values
- Formation energy: 0.33 eV/atom

Lattice parameters (Å, degrees): 3.0459 3.0459 23.6516 90.00 90.00 90.00
Closest atoms and distances in Å follow each position.
Space group I4_1/amd (No. 141, origin choice 2)
Asymmetric unit:
1 Ta 0.0000 0.2500 0.3033 x8  4 Re 2.74, 6 Ta 2.95-3.05
2 Re 0.0000 0.2500 0.8750 x4  8 Ta 2.74, 4 Re 3.05

---

No. 3
A plane-wave DFT calculation with PBE was carried out for a geometry-optimized TaRe2 structure.

Calculated values
- Formation energy: -0.06 eV/atom

Lattice parameters (Å, degrees): 4.4596 9.5169 4.5272 90.00 90.00 90.00
Closest atoms and distances in Å follow each position.
Space group Cmcm (No. 63)
Asymmetric unit:
1 Ta 0.0000 0.0903 0.2500 x4  6 Re 2.70-2.73, 2 Ta 2.84
2 Re 0.0000 0.2448 0.7500 x4  4 Ta 2.70-2.73, 4 Re 2.77-2.86
3 Re 0.0000 0.4278 0.2500 x4  6 Re 2.65-2.86, 2 Ta 2.71

---

No. 4
A plane-wave DFT calculation with PBE was carried out for a geometry-optimized TaRe2 structure.

Calculated values
- Formation energy: 0.96 eV/atom

Lattice parameters (Å, degrees): 6.1077 6.1077 6.1077 90.00 90.00 90.00
Closest atoms and distances in Å follow each position.
Space group Fm-3m (No. 225)
Asymmetric unit:
1 Ta 0.0000 0.0000 0.0000 x4  8 Re 2.64
2 Re 0.2500 0.2500 0.2500 x8  4 Ta 2.64

---

No. 5
A plane-wave DFT calculation with PBE was carried out for a geometry-optimized Ta3Re structure.

Calculated values
- Formation energy: 0.12 eV/atom

Lattice parameters (Å, degrees): 3.0349 3.0349 26.7231 90.00 90.00 120.00
Closest atoms and distances in Å follow each position.
Space group R-3m (No. 166, hexagonal axes)
Asymmetric unit:
1 Ta 0.0000 0.0000 0.0000 x3  12 Ta 2.93-3.03
2 Ta 0.0000 0.0000 0.2454 x6  3 Re 2.74, 9 Ta 2.93-3.03
3 Re 0.0000 0.0000 0.5000 x3  6 Ta 2.74, 6 Re 3.03

---

No. 6
A plane-wave DFT calculation with PBE was carried out for a geometry-optimized Ta2Re structure.

Calculated values
- Formation energy: 0.21 eV/atom

Lattice parameters (Å, degrees): 6.7193 6.7193 4.1882 90.00 90.00 120.00
Closest atoms and distances in Å follow each position.
Space group P-62m (No. 189)
Asymmetric unit:
1 Ta 0.0000 0.2500 0.0000 x3  4 Re 2.57-2.68
2 Ta 0.0000 0.5698 0.5000 x3  5 Re 2.89, 2 Ta 3.00
3 Re 0.0000 0.0000 0.5000 x1  9 Ta 2.68-2.89
4 Re 0.3333 0.6667 0.0000 x2  3 Ta 2.57

---

No. 7
A plane-wave DFT calculation with PBE was carried out for a geometry-optimized Ta2Re structure.

Calculated values
- Formation energy: 0.53 eV/atom

Lattice parameters (Å, degrees): 2.6567 4.3796 19.6079 90.00 90.00 90.00
Closest atoms and distances in Å follow each position.
Space group Imma (No. 74)
Asymmetric unit:
1 Ta 0.0000 0.2500 0.0406 x4  5 Ta 2.66-2.79, 4 Re 2.88
2 Ta 0.0000 0.2500 0.1830 x4  5 Ta 2.66-2.94, 4 Re 2.96
3 Re 0.0000 0.2500 0.6076 x4  2 Re 2.66, 8 Ta 2.88-2.96

---

No. 8
A plane-wave DFT calculation with PBE was carried out for a geometry-optimized TaRe2 structure.

Calculated values
- Formation energy: 0.41 eV/atom

Lattice parameters (Å, degrees): 2.7157 4.4409 17.5043 90.00 90.00 90.00
Closest atoms and distances in Å follow each position.
Space group Imma (No. 74)
Asymmetric unit:
1 Ta 0.0000 0.2500 0.1203 x4  2 Ta 2.72, 10 Re 2.85-3.03
2 Re 0.0000 0.2500 0.5345 x4  5 Re 2.53-2.72
3 Re 0.0000 0.2500 0.6862 x4  5 Re 2.61-2.72, 4 Ta 2.85

---

No. 9
A plane-wave DFT calculation with PBE was carried out for a geometry-optimized Ta3Re structure.

Calculated values
- Formation energy: 0.11 eV/atom

Lattice parameters (Å, degrees): 4.8413 5.3557 5.4287 90.00 90.00 90.00
Closest atoms and distances in Å follow each position.
Space group Pmmn (No. 59, origin choice 2)
Asymmetric unit:
1 Ta 0.2500 0.0015 0.1416 x4  5 Ta 2.66-2.96, 1 Re 2.98
2 Ta 0.2500 0.7500 0.6280 x2  4 Re 2.68-2.86, 2 Ta 2.96
3 Re 0.2500 0.2500 0.6513 x2  10 Ta 2.68-2.99

---

No. 10
A plane-wave DFT calculation with PBE was carried out for a geometry-optimized TaRe2 structure.

Calculated values
- Formation energy: 0.44 eV/atom

Lattice parameters (Å, degrees): 3.1205 3.1205 21.2101 90.00 90.00 90.00
Closest atoms and distances in Å follow each position.
Space group I4_1/amd (No. 141, origin choice 2)
Asymmetric unit:
1 Ta 0.0000 0.2500 0.3750 x4  8 Re 2.74
2 Re 0.0000 0.2500 0.7981 x8  2 Re 2.57, 4 Ta 2.74

---

No. 11
A plane-wave DFT calculation with PBE was carried out for a geometry-optimized Ta4Re structure.

Calculated values
- Formation energy: 0.15 eV/atom

Lattice parameters (Å, degrees): 5.3837 8.3938 4.5358 90.00 114.22 90.00
Closest atoms and distances in Å follow each position.
Space group P2/c (No. 13)
Asymmetric unit:
1 Ta 0.1790 0.1449 0.0868 x4  3 Re 2.74-2.79, 5 Ta 2.85-3.06
2 Ta 0.2137 0.3952 0.5925 x4  1 Re 2.68, 5 Ta 2.74-2.87
3 Re 0.5000 0.1228 0.7500 x2  8 Ta 2.68-2.79

---

No. 12
A plane-wave DFT calculation with PBE was carried out for a geometry-optimized Ta2Re structure.

Calculated values
- Formation energy: 0.04 eV/atom

Lattice parameters (Å, degrees): 3.8495 3.8495 28.0132 90.00 90.00 90.00
Closest atoms and distances in Å follow each position.
Space group I4_1/amd (No. 141, origin choice 2)
Asymmetric unit:
1 Ta 0.0000 0.2500 0.1243 x8  6 Ta 2.72-3.02, 4 Re 3.02-3.05
2 Ta 0.0000 0.2500 0.7912 x8  6 Re 2.72-3.01, 4 Ta 3.00-3.02
3 Re 0.0000 0.2500 0.2914 x8  10 Ta 2.72-3.05, 2 Re 3.02